Density functional theory data (PBE) for crystalline Ca3Sm2TmTe6 at its relaxed geometry.

Cell: 7.645 7.645 7.791 Å, 99.45 99.45 119.92°
Fractional coordinates of all 12 atoms:
Ca  0.000  0.000  0.000
Ca  0.330  0.670  0.000
Ca  0.670  0.330  0.000
Sm  0.165  0.835  0.500
Sm  0.835  0.165  0.500
Tm  0.500  0.500  0.500
Te  0.092  0.418  0.253
Te  0.258  0.258  0.749
Te  0.418  0.092  0.253
Te  0.582  0.908  0.747
Te  0.742  0.742  0.251
Te  0.908  0.582  0.747

Values from the calculation:
ΔE_f (raw) = -1466 meV/atom
Volume = 372.8 Å³/cell
Total moment = 0.00 μB per formula unit
Crystal system = monoclinic